DFT (GGA+U) results for an optimized crystal structure of Sr3Cr2O6.

Geometry as CIF:
```
data_Sr3Cr2O6
_chemical_formula_sum 'Sr6 Cr4 O12'
_cell_length_a 3.9500
_cell_length_b 3.9500
_cell_length_c 20.0876
_cell_angle_alpha 90.00
_cell_angle_beta 90.00
_cell_angle_gamma 90.00
_symmetry_space_group_name_H-M 'I 4/m m m'
_symmetry_Int_Tables_number 139
_symmetry_space_group_name_Hall '-I 4 2'
loop_
_atom_site_label
_atom_site_type_symbol
_atom_site_fract_x
_atom_site_fract_y
_atom_site_fract_z
_atom_site_occupancy
Sr1 Sr 0.0000 0.0000 0.0000 1
Sr2 Sr 0.0000 0.0000 0.1810 1
Cr1 Cr 0.0000 0.0000 0.3984 1
O1 O 0.0000 0.0000 0.3034 1
O2 O 0.0000 0.5000 0.0851 1
```

Results
- VASP energy: -6.92 eV per atom